The following is a PBE+U calculation of an optimized crystal structure of Nb3CoF, from Alexandria.

Lattice parameters (Å, degrees): 4.2963 4.2963 4.2963 90.00 90.00 90.00
Sites, in units of the cell vectors:
Nb  0.0000  0.0000  0.5000
Nb  0.0000  0.5000  0.0000
Nb  0.5000  0.0000  0.0000
Co  0.5000  0.5000  0.5000
F  0.0000  0.0000  0.0000

- total magnetic moment (μB/cell) = 2.56
- energy above the lowest structure with this stoichiometry (meV per atom) = 0
- crystal system = cubic